PBE-GGA ZnReRuAu2, optimized geometry; formation energy = 1748 meV/atom; SG = No. 123; calculated total energy = -20.81 eV per cell
1.0
4.958 0.000 0.000
0.000 4.958 0.000
0.000 0.000 4.795
Zn Re Ru Au
1 1 1 2
direct
0.000 0.000 0.000
0.000 0.000 0.500
0.500 0.500 0.000
0.000 0.500 0.500
0.500 0.000 0.500